1.
Material: Pr2HoTm2
Method: DFT, PBE-GGA
State: relaxed

Structure (extended XYZ):
```
5
Lattice="-2.197 0.545 2.771 -3.313 -1.349 -0.051 6.016 -10.427 9.128" Properties=species:S:1:pos:R:3 pbc="T T T"
Pr -1.315 -1.608 1.583
Pr 1.821 -9.623 10.265
Tm 2.676 -6.904 8.098
Tm -2.170 -4.327 3.750
Ho 0.253 -5.615 5.924
```

Properties
Energy relative to the lowest polymorph listed for this composition   0 meV/atom
Symmetry   C2/m (12)
Formation energy from the elements   34 meV/atom


2.
Material: GaSi2Pd8
Method: DFT, PBE-GGA
State: relaxed

Structure (extended XYZ):
```
11
Lattice="-0.988 1.349 -3.637 -2.337 -5.324 -1.340 -4.682 3.535 4.786" Properties=species:S:1:pos:R:3 pbc="T T T"
Pd -5.428 0.599 1.696
Pd -3.448 2.552 1.883
Pd -5.234 -0.454 -0.950
Pd -5.886 3.411 0.661
Pd -2.579 -1.039 -1.888
Pd -2.773 0.014 0.758
Pd -2.120 -3.851 -0.852
Pd -4.559 -2.992 -2.074
Ga -0.494 0.675 -1.819
Si -4.509 1.727 -0.338
Si -3.497 -2.166 0.146
```

Properties
Energy relative to the lowest polymorph listed for this composition   0 meV/atom
Symmetry   C2/m (12)
Energy relative to the elements, uncorrected   -0.58 eV/atom


3.
Material: K2ScAu
Method: DFT, PBE-GGA
State: relaxed

Structure (extended XYZ):
```
4
Lattice="-2.439 0.215 3.686 -3.104 -2.554 -1.905 2.771 -4.953 2.123" Properties=species:S:1:pos:R:3 pbc="T T T"
K 0.000 0.000 0.000
K -2.772 -1.169 0.891
Sc 0.166 -2.369 2.905
Au -0.167 -3.753 0.109
```

Properties
Energy relative to the lowest polymorph listed for this composition   390 meV/atom
Symmetry   Pmmm (47)
Formation energy from the elements   268 meV/atom


4.
Material: Mg2InTe
Method: DFT, PBE-GGA
State: relaxed

Structure (extended XYZ):
```
4
Lattice="-3.270 -5.337 2.385 2.346 -4.699 4.156 -0.696 6.580 -1.037" Properties=species:S:1:pos:R:3 pbc="T T T"
Mg -2.191 -1.637 2.146
Mg -0.892 -9.685 6.312
In 0.568 -1.847 3.377
Te -0.492 -5.340 3.481
```

Properties
Energy relative to the lowest polymorph listed for this composition   38 meV/atom
Symmetry   Imm2 (44)
Energy relative to the elements, uncorrected   -0.24 eV/atom


5.
Material: KTcO3
Method: DFT, PBE-GGA
State: relaxed

Structure (extended XYZ):
```
10
Lattice="-5.082 -1.488 4.181 -1.779 -5.697 3.146 -0.165 -1.732 6.518" Properties=species:S:1:pos:R:3 pbc="T T T"
O -1.529 -4.604 5.429
O -5.496 -4.313 8.415
O -4.151 -3.817 4.606
O -2.668 -2.175 6.416
O -4.357 -6.742 7.429
O -2.874 -5.101 9.238
K -0.949 -1.205 1.871
K -6.076 -7.712 11.974
Tc -2.356 -2.991 4.643
Tc -4.669 -5.927 9.202
```

Properties
Symmetry   R-3 (148)
Energy relative to the elements, uncorrected   -1.52 eV/atom


6.
Material: Pm2SmSb3
Method: DFT, PBE-GGA
State: relaxed

Structure (extended XYZ):
```
12
Lattice="-6.333 -0.240 -0.136 0.108 0.740 -6.295 0.328 -9.811 2.044" Properties=species:S:1:pos:R:3 pbc="T T T"
Pm 0.000 0.000 0.000
Pm -2.858 -6.042 -3.951
Pm -3.113 0.250 -3.216
Pm -3.039 -3.268 -0.436
Sm 0.254 -6.295 -0.736
Sm 0.181 -2.775 -3.515
Sb -2.985 -2.896 -3.583
Sb -2.912 -6.414 -0.804
Sb 0.308 -5.916 -3.882
Sb 0.127 -3.155 -0.369
Sb -3.166 -0.120 -0.068
Sb 0.054 0.370 -3.147
```

Properties
Energy relative to the lowest polymorph listed for this composition   0 meV/atom
Symmetry   Cmmm (65)
Energy relative to the elements, uncorrected   -1.19 eV/atom


7.
Material: TaBSb2Ir
Method: DFT, PBE-GGA
State: relaxed

Structure (extended XYZ):
```
5
Lattice="-2.309 0.698 -4.720 3.553 -1.121 -1.904 -1.582 -5.059 0.026" Properties=species:S:1:pos:R:3 pbc="T T T"
Ta 0.000 0.000 0.000
Sb -1.155 0.349 -2.360
Sb -0.791 -2.529 0.013
B 1.776 -0.560 -0.952
Ir -0.170 -2.741 -3.299
```

Properties
Symmetry   P4/mmm (123)
Energy relative to the elements, uncorrected   1.44 eV/atom


8.
Material: NiHgC2I
Method: DFT, PBE-GGA
State: relaxed

Structure (extended XYZ):
```
5
Lattice="-1.124 2.251 3.268 2.534 -4.540 3.999 3.635 1.948 -0.091" Properties=species:S:1:pos:R:3 pbc="T T T"
I 0.000 0.000 0.000
Hg 1.267 -2.270 2.000
C 1.817 0.974 -0.046
C -0.562 1.126 1.634
Ni 2.522 -0.170 3.588
```

Properties
Symmetry   P4/mmm (123)
Energy relative to the elements, uncorrected   2.89 eV/atom


9.
Material: LaMo2Se
Method: DFT, PBE-GGA
State: relaxed

Structure (extended XYZ):
```
8
Lattice="4.346 0.000 0.000 0.000 4.346 0.000 2.173 2.173 9.440" Properties=species:S:1:pos:R:3 pbc="T T T"
Mo 1.577 3.259 2.360
Mo 2.769 1.086 2.360
Mo 3.259 3.750 7.080
Mo 5.432 4.942 7.080
Se 2.173 4.346 4.720
Se 2.173 2.173 0.000
La 0.000 0.000 0.000
La 4.346 2.173 4.720
```

Properties
Symmetry   I-42d (122)
Energy relative to the elements, uncorrected   0.17 eV/atom


10.
Material: Mg5Hg3Cl12
Method: DFT, PBE-GGA
State: relaxed

Structure (extended XYZ):
```
80
Lattice="14.124 0.000 0.000 -4.708 13.316 0.000 -4.708 -6.658 11.532" Properties=species:S:1:pos:R:3 pbc="T T T"
Cl 8.848 0.847 5.639
Cl -2.923 7.789 9.319
Cl 1.464 -1.764 10.415
Cl 10.672 3.170 3.553
Cl 1.785 4.681 7.852
Cl -3.453 11.479 1.245
Cl 10.306 6.744 2.086
Cl 2.151 9.195 4.649
Cl 3.244 4.809 0.969
Cl 5.598 1.764 10.415
Cl 5.807 10.146 3.553
Cl 5.964 -1.333 6.735
Cl 5.277 5.528 9.319
Cl 7.265 3.900 4.522
Cl 2.557 -2.537 6.883
Cl 4.505 2.537 6.883
Cl -1.256 7.991 4.797
Cl -1.099 4.821 10.288
Cl -4.140 5.811 5.894
Cl 0.569 8.636 7.852
Cl -4.505 5.295 11.405
Cl 9.619 -2.758 7.011
Cl -0.890 4.894 1.117
Cl 3.244 8.422 1.117
Cl 8.161 -4.821 10.288
Cl -2.557 2.758 7.011
Cl -5.964 3.488 7.980
Cl 0.203 4.121 4.649
Cl 5.807 1.837 1.245
Cl -0.569 1.131 2.213
Cl 3.610 5.326 4.797
Cl -1.464 0.086 9.446
Cl 6.494 7.505 5.894
Cl -1.785 -0.847 5.639
Cl 9.213 1.363 0.128
Cl 6.172 6.573 2.086
Cl -0.890 8.507 0.969
Cl -5.598 -0.086 9.446
Cl -1.099 -3.488 7.980
Cl -2.557 -5.295 11.405
Cl 1.099 1.333 6.735
Cl 7.265 11.953 0.128
Cl -4.911 9.416 4.522
Cl 2.923 1.977 3.680
Cl 1.464 1.849 10.563
Cl 4.140 -1.977 3.680
Cl 5.598 -1.849 10.563
Cl 7.631 -1.131 2.213
Mg 2.354 3.329 5.766
Mg -1.177 0.832 7.208
Mg 5.885 -4.161 10.091
Mg 5.885 3.329 8.649
Mg -4.708 3.329 5.766
Mg 4.708 6.658 0.000
Mg -1.177 3.329 2.883
Mg 5.885 5.826 4.325
Mg 3.531 9.987 2.883
Mg 7.062 0.000 0.000
Mg -1.177 10.820 1.442
Mg -2.354 6.658 0.000
Mg 4.708 -3.329 5.766
Mg 0.000 0.000 0.000
Mg -2.354 -3.329 5.766
Mg 1.177 -3.329 8.649
Mg 8.239 -0.832 7.208
Mg 3.531 2.497 1.442
Mg -3.531 7.490 4.325
Mg 1.177 4.161 10.091
Hg 5.885 0.832 4.325
Hg 3.531 7.490 7.208
Hg 8.239 9.155 1.442
Hg 1.177 -0.832 4.325
Hg 10.593 0.000 2.883
Hg 1.177 6.658 2.883
Hg 3.531 0.000 8.649
Hg -3.531 -2.497 10.091
Hg -5.885 6.658 8.649
Hg -1.177 5.826 7.208
Hg 8.239 4.161 1.442
Hg -3.531 2.497 10.091
```

Properties
Symmetry   Ia-3d (230)
Energy relative to the elements, uncorrected   -1.31 eV/atom


11.
Material: CrIn2S4
Method: DFT, PBE-GGA
State: relaxed

Structure (extended XYZ):
```
14
Lattice="-0.323 -5.784 4.916 -6.690 -3.184 1.685 -1.604 -7.003 -2.473" Properties=species:S:1:pos:R:3 pbc="T T T"
In -4.422 -3.589 1.358
In -1.879 -5.498 -0.720
In -1.239 -4.888 2.974
In -1.077 -1.996 0.516
S -3.204 -5.937 1.535
S -6.745 -10.434 4.894
S -7.568 -14.027 3.626
S -7.402 -11.060 1.104
S -4.027 -9.530 0.266
S -3.370 -8.904 4.057
S -6.635 -7.571 2.399
S -4.137 -12.393 2.761
Cr -4.309 -7.986 2.064
Cr -6.463 -11.978 3.096
```

Properties
Symmetry   Fd-3m (227)
Energy relative to the elements, uncorrected   -0.48 eV/atom


12.
Material: Na2Sr8Tl
Method: DFT, PBE-GGA
State: relaxed

Structure (extended XYZ):
```
11
Lattice="6.236 0.000 0.000 0.000 8.272 0.123 -3.118 -3.392 10.118" Properties=species:S:1:pos:R:3 pbc="T T T"
Sr 0.000 1.085 4.073
Sr 3.118 6.921 3.220
Sr 3.118 2.951 1.901
Sr 3.118 -1.477 9.737
Sr 0.000 1.929 8.339
Sr 3.118 3.795 6.167
Sr 0.000 6.357 0.504
Sr 0.000 -2.041 7.021
Na 3.118 0.174 6.468
Na 0.000 4.706 3.773
Tl 3.118 0.000 0.000
```

Properties
Energy relative to the lowest polymorph listed for this composition   20 meV/atom
Symmetry   C2/m (12)
Formation energy from the elements   -40 meV/atom


13.
Material: K3Ca2NbO6
Method: DFT, PBE-GGA
State: relaxed

Structure (extended XYZ):
```
12
Lattice="-0.742 4.191 4.083 3.903 -4.329 0.898 3.323 3.440 -4.355" Properties=species:S:1:pos:R:3 pbc="T T T"
Nb 0.000 0.000 0.000
K 1.701 4.478 1.370
K 4.784 -1.176 -0.744
K 3.242 1.651 0.313
O 4.535 3.936 0.862
O 0.594 1.850 0.693
O 3.434 2.772 -2.408
O 5.890 1.451 -0.067
O 3.050 0.529 3.034
O 1.949 -0.635 -0.236
Ca 0.807 1.350 3.021
Ca 2.354 -1.489 1.960
```

Properties
Symmetry   C2/m (12)
Energy relative to the elements, uncorrected   -2.39 eV/atom


14.
Material: La3Sm3Pd4
Method: DFT, PBE-GGA
State: relaxed

Structure (extended XYZ):
```
10
Lattice="4.060 0.000 0.000 0.000 8.087 -0.024 0.000 0.047 8.087" Properties=species:S:1:pos:R:3 pbc="T T T"
La 2.030 5.429 5.396
La 2.030 2.690 2.681
La 2.030 6.751 1.324
Pd 0.000 7.116 7.012
Pd 0.000 1.059 1.008
Pd 0.000 3.007 5.101
Pd 0.000 5.103 2.986
Sm 0.000 0.034 4.076
Sm 2.030 1.403 6.719
Sm 0.000 4.057 8.064
```

Properties
Symmetry   Amm2 (38)
Formation energy from the elements   -662 meV/atom


15.
Material: Ac2Sc4Sn3O2
Method: DFT, PBE-GGA
State: relaxed

Structure (extended XYZ):
```
11
Lattice="-1.739 2.067 -3.621 -0.867 -4.016 -1.876 -10.245 0.898 8.249" Properties=species:S:1:pos:R:3 pbc="T T T"
O -9.593 -0.064 4.570
O -3.258 -0.988 -1.817
Sc -10.631 0.969 2.840
Sc -2.219 -2.020 -0.088
Sc -2.655 1.022 -0.960
Sc -10.196 -2.073 3.712
Sn -3.706 -0.025 1.766
Sn 0.000 0.000 0.000
Sn -9.144 -1.027 0.987
Ac -7.054 -0.047 3.360
Ac -5.796 -1.005 -0.608
```

Properties
Symmetry   I4/mmm (139)
Energy relative to the elements, uncorrected   -1.49 eV/atom


16.
Material: Pr3Y
Method: DFT, PBE-GGA
State: relaxed

Structure (extended XYZ):
```
4
Lattice="3.719 0.000 0.000 0.000 6.406 0.000 -1.859 -3.203 5.968" Properties=species:S:1:pos:R:3 pbc="T T T"
Pr 0.000 2.133 3.003
Pr 1.859 -1.070 2.965
Pr 1.859 3.203 0.000
Y 0.000 0.004 0.000
```

Properties
Energy relative to the lowest polymorph listed for this composition   16 meV/atom
Symmetry   Imm2 (44)
Formation energy from the elements   27 meV/atom


17.
Material: Tm2IrSe
Method: DFT, PBE-GGA
State: relaxed

Structure (extended XYZ):
```
4
Lattice="3.433 0.000 0.000 0.000 3.433 0.000 0.000 0.000 7.184" Properties=species:S:1:pos:R:3 pbc="T T T"
Tm 0.000 0.000 5.529
Tm 0.000 0.000 1.656
Se 1.716 1.716 3.592
Ir 1.716 1.716 0.000
```

Properties
Energy relative to the lowest polymorph listed for this composition   74 meV/atom
Symmetry   P4/mmm (123)
Energy relative to the elements, uncorrected   -1.15 eV/atom


18.
Material: Si3Ni8
Method: DFT, PBE-GGA
State: relaxed

Structure (extended XYZ):
```
11
Lattice="-2.759 2.736 -3.422 -1.961 -4.209 -2.291 -4.271 -0.014 2.926" Properties=species:S:1:pos:R:3 pbc="T T T"
Ni -3.274 -2.917 -2.039
Ni -5.579 -0.923 -1.729
Ni -5.231 -2.813 -0.049
Ni -3.759 1.326 -2.737
Ni -5.716 1.429 -0.748
Ni -3.412 -0.564 -1.057
Ni -4.685 -0.348 1.144
Ni -4.305 -1.140 -3.930
Si -2.360 -0.736 -2.856
Si -3.116 -2.112 0.318
Si -3.515 1.361 -0.248
```

Properties
Symmetry   R-3m (166)
Energy relative to the elements, uncorrected   -0.08 eV/atom


19.
Material: Cs2PF6
Method: DFT, PBE-GGA
State: relaxed

Structure (extended XYZ):
```
9
Lattice="-3.588 -0.076 -5.372 -6.297 -1.402 0.341 -4.398 4.623 -1.013" Properties=species:S:1:pos:R:3 pbc="T T T"
F -5.000 0.580 -4.438
F -8.794 -0.265 -4.233
F -7.650 3.365 -5.048
F -6.633 -0.220 -0.996
F -9.282 2.566 -1.606
F -5.489 3.410 -1.811
P 0.000 0.000 0.000
Cs -10.712 2.359 -4.533
Cs -3.571 0.786 -1.511
```

Properties
Energy relative to the lowest polymorph listed for this composition   0 meV/atom
Symmetry   Fm-3m (225)
Energy relative to the elements, uncorrected   -2.51 eV/atom


20.
Material: Cs4Tm3PaS8
Method: DFT, PBE-GGA
State: relaxed

Structure (extended XYZ):
```
16
Lattice="-5.196 1.452 6.084 -7.132 -2.485 -5.497 5.874 -5.551 0.907" Properties=species:S:1:pos:R:3 pbc="T T T"
Tm -3.227 -3.292 0.747
Tm -0.629 -4.018 -2.295
Tm -6.164 -0.517 0.293
Cs 2.937 -2.776 0.454
Cs -2.598 0.726 3.042
Cs 0.000 0.000 0.000
Cs 0.339 -2.049 3.496
S -3.024 -5.929 1.530
S -0.499 -3.442 0.395
S -3.092 -2.690 3.435
S -3.429 -0.655 -0.036
S -3.361 -3.895 -1.941
S -5.954 -3.143 1.099
S -0.445 -6.650 -1.490
S -6.009 0.066 2.984
Pa -3.566 -1.243 -2.749
```

Properties
Symmetry   R-3m (166)
Energy relative to the elements, uncorrected   -1.71 eV/atom


no.,raw total energy (eV per atom),DOS at the Fermi energy (states/eV/cell)
1,-4.58,6.5
2,-5.61,3.7
3,-2.68,4.7
4,-2.51,1.1
5,-6.78,3.7
6,-5.62,1.2
7,-5.68,6.9
8,-2.33,5.9
9,-7.35,6.6
10,-2.86,46.1
11,-4.99,7.8
12,-1.72,11.1
13,-6.31,0.0
14,-5.63,8.1
15,-6.54,6.5
16,-5.17,6.9
17,-6.47,1.1
18,-5.76,7.5
19,-4.55,2.3
20,-5.42,9.2